Entry 1:
Computed, not measured: a relaxed structure of HfRh2S2 at the PBE level of DFT.

abc: 6.8407 6.8407 3.3248
angles: 90.00 90.00 90.00
Last column: nearest neighbours and their distance in Å.
Atoms (fractional coordinates):
Hf1 0.0000 0.0000 0.0000  4 S 2.56
Rh1 0.8458 0.3458 0.5000  2 S 2.42
Hf2 0.5000 0.5000 0.0000  4 S 2.56
S1 0.6644 0.1644 0.0000  2 Rh 2.42, 2 Hf 2.56
Rh2 0.3458 0.1542 0.5000  2 S 2.42
S2 0.3356 0.8356 0.0000  2 Rh 2.42, 2 Hf 2.56
Rh3 0.6542 0.8458 0.5000  2 S 2.42
S3 0.8356 0.6644 0.0000  2 Rh 2.42, 2 Hf 2.56
S4 0.1644 0.3356 0.0000  2 Rh 2.42, 2 Hf 2.56
Rh4 0.1542 0.6542 0.5000  2 S 2.42

## Properties
**Total moment**: 0.0 μB per cell
**SG**: P4/mbm
**ΔE to the lowest computed polymorph**: 0.000 eV per formula unit
**ρ**: 9.57 g cm⁻³

Entry 2:
Computed, not measured: a relaxed structure of NbSbPI2 at the PBE level of DFT.

abc: 5.2520 5.2520 5.4035
angles: 90.00 90.00 90.00
Last column: nearest neighbours and their distance in Å.
Atoms (fractional coordinates):
Sb1 0.0000 0.0000 0.5000  2 P 2.70
Nb1 0.5000 0.5000 0.5000  4 Sb 3.71, 8 I 3.77
P1 0.0000 0.0000 0.0000  4 I 2.63, 2 Sb 2.70
I1 0.5000 0.0000 0.0000  2 P 2.63
I2 0.0000 0.5000 0.0000  2 P 2.63

## Properties
**Total moment**: 2.7 μB per cell
**SG**: P4/mmm
**ΔE to the lowest computed polymorph**: 1.450 eV per formula unit
**ρ**: 5.56 g cm⁻³

Entry 3:
Computed, not measured: a relaxed structure of NdSmAlGe at the PBE level of DFT.

abc: 4.4898 4.1108 6.0580
angles: 90.00 111.75 90.00
Last column: nearest neighbours and their distance in Å.
Atoms (fractional coordinates):
Nd1 0.1407 0.0000 0.2815  4 Ge 3.14, 3 Al 3.23-3.28
Ge1 0.5736 0.5000 0.1472  2 Al 2.63
Sm1 0.8579 0.5000 0.7158  4 Al 3.14, 3 Ge 3.20-3.31
Al1 0.4278 0.0000 0.8556  2 Ge 2.63

## Properties
**Total moment**: 0.2 μB per cell
**SG**: Amm2
**E_form**: -2.7 eV/f.u.
**ρ**: 6.30 g cm⁻³

Entry 4:
Computed, not measured: a relaxed structure of SmEuY2 at the PBE level of DFT.

abc: 5.7951 5.7951 5.7951
angles: 60.00 60.00 60.00
Last column: nearest neighbours and their distance in Å.
Atoms (fractional coordinates):
Y1 0.7500 0.7500 0.7500  4 Sm 3.55, 4 Eu 3.55
Y2 0.2500 0.2500 0.2500  4 Eu 3.55, 4 Sm 3.55
Sm1 0.0000 0.0000 0.0000  8 Y 3.55
Eu1 0.5000 0.5000 0.5000  8 Y 3.55

## Properties
**Total moment**: 7.3 μB per cell
**SG**: Fm-3m
**ΔE to the lowest computed polymorph**: 0.356 eV per formula unit
**E_form**: 0.6 eV/f.u.
**ρ**: 5.79 g cm⁻³

Entry 5:
Computed, not measured: a relaxed structure of RbAl2I8 at the PBE level of DFT.

abc: 7.8784 10.1038 10.1038
angles: 61.57 73.86 73.86
Last column: nearest neighbours and their distance in Å.
Atoms (fractional coordinates):
I1 0.7172 0.7009 0.1050  1 Al 2.58
I2 0.3780 0.7992 0.7992  1 Al 2.54
Al1 0.6802 0.8224 0.8224  4 I 2.54-2.58
I3 0.2828 0.8950 0.2991  1 Al 2.58
Rb1 0.0000 0.0000 0.0000  6 I 3.78-3.82
I4 0.9419 0.6892 0.6892  1 Al 2.55
I5 0.7172 0.1050 0.7009  1 Al 2.58
I6 0.0581 0.3108 0.3108  1 Al 2.55
I7 0.2828 0.2991 0.8950  1 Al 2.58
I8 0.6220 0.2008 0.2008  1 Al 2.54
Al2 0.3198 0.1776 0.1776  4 I 2.54-2.58

## Properties
**Total moment**: 0.0 μB per cell
**SG**: C2/m
**ΔE to the lowest computed polymorph**: 0.000 eV per formula unit
**ρ**: 2.87 g cm⁻³

Entry 6:
Computed, not measured: a relaxed structure of Si2GeS at the PBE level of DFT.

abc: 5.1514 5.1514 7.3212
angles: 69.40 69.40 90.00
Last column: nearest neighbours and their distance in Å.
Atoms (fractional coordinates):
Si1 0.1385 0.6250 0.2500  2 S 2.38, 2 Ge 2.45
S1 0.5000 0.5000 0.0000  4 Si 2.38
Si2 0.8750 0.8615 0.7500  2 S 2.38, 2 Ge 2.45
Ge1 0.0000 0.0000 0.0000  4 Si 2.45
Si3 0.3750 0.3885 0.7500  2 S 2.38, 2 Ge 2.45
Ge2 0.7500 0.2500 0.5000  4 Si 2.45
Si4 0.6115 0.1250 0.2500  2 S 2.38, 2 Ge 2.45
S2 0.2500 0.7500 0.5000  4 Si 2.38

## Properties
**Total moment**: 0.0 μB per cell
**SG**: I-42d
**ΔE to the lowest computed polymorph**: 0.000 eV per formula unit
**ρ**: 3.17 g cm⁻³

Entry 7:
Computed, not measured: a relaxed structure of NaHoZnCl6 at the PBE level of DFT.

abc: 6.6039 6.6039 12.5891
angles: 90.00 90.00 120.00
Last column: nearest neighbours and their distance in Å.
Atoms (fractional coordinates):
Cl1 0.9840 0.3506 0.1348  1 Zn 2.50, 1 Ho 2.64
Cl2 0.3506 0.9840 0.6348  1 Zn 2.50, 1 Ho 2.64
Cl3 0.3665 0.0160 0.1348  1 Zn 2.50, 1 Ho 2.64
Ho1 0.3333 0.6667 0.2500  6 Cl 2.64
Na1 0.0000 0.0000 0.0000  6 Cl 2.91
Cl4 0.9840 0.6335 0.3652  1 Zn 2.50, 1 Ho 2.64
Cl5 0.6335 0.9840 0.8652  1 Zn 2.50, 1 Ho 2.64
Ho2 0.6667 0.3333 0.7500  6 Cl 2.64
Cl6 0.3665 0.3506 0.3652  1 Zn 2.50, 1 Ho 2.64
Cl7 0.3506 0.3665 0.8652  1 Zn 2.50, 1 Ho 2.64
Cl8 0.6335 0.6494 0.6348  1 Zn 2.50, 1 Ho 2.64
Cl9 0.6494 0.0160 0.3652  1 Zn 2.50, 1 Ho 2.64
Zn1 0.3333 0.6667 0.7500  6 Cl 2.50
Na2 0.0000 0.0000 0.5000  6 Cl 2.91
Cl10 0.0160 0.3665 0.6348  1 Zn 2.50, 1 Ho 2.64
Cl11 0.0160 0.6494 0.8652  1 Zn 2.50, 1 Ho 2.64
Cl12 0.6494 0.6335 0.1348  1 Zn 2.50, 1 Ho 2.64
Zn2 0.6667 0.3333 0.2500  6 Cl 2.50

## Properties
**Total moment**: 0.0 μB per cell
**SG**: P-31c
**ρ**: 3.26 g cm⁻³

Entry 8:
Computed, not measured: a relaxed structure of Sm2TlAg at the PBE level of DFT.

abc: 5.3691 5.3691 5.3691
angles: 60.00 60.00 60.00
Last column: nearest neighbours and their distance in Å.
Atoms (fractional coordinates):
Sm1 0.7500 0.7500 0.7500  4 Tl 3.29, 4 Ag 3.29
Sm2 0.2500 0.2500 0.2500  4 Ag 3.29, 4 Tl 3.29
Tl1 0.0000 0.0000 0.0000  8 Sm 3.29
Ag1 0.5000 0.5000 0.5000  8 Sm 3.29

## Properties
**Total moment**: 0.4 μB per cell
**SG**: Fm-3m
**ΔE to the lowest computed polymorph**: 0.000 eV per formula unit
**E_form**: -1.3 eV/f.u.
**ρ**: 9.30 g cm⁻³

Calculated values (eV per atom) of DFT total energy for the records, taken in order: -7.059 -3.500 -5.132 -6.832 -2.620 -4.561 -3.797 -3.990.